Record 1
# PmHCl3

Crystalline PmHCl3 at its relaxed geometry (GGA-PBE, Alexandria via LeMat-Bulk).

DFT total energy ... -4.102 eV per atom
V ... 26.9 Å³/atom
Theoretical density ... 3.12 g/cm3
Size of the total moment ... 1.0 μB/f.u.

```
data_PmHCl3
_chemical_formula_sum 'Pm2 H2 Cl6'
_space_group_name_H-M_alt 'P 1 21/m 1'
_space_group_IT_number 11
_cell_length_a 7.810
_cell_length_b 3.979
_cell_length_c 8.701
_cell_angle_alpha 90.00
_cell_angle_beta 96.45
_cell_angle_gamma 90.00
loop_
_space_group_symop_operation_xyz
'x,y,z'
'-x,-y,-z'
'-x,y+1/2,-z'
'x,-y+1/2,z'
loop_
_atom_site_label
_atom_site_type_symbol
_atom_site_fract_x
_atom_site_fract_y
_atom_site_fract_z
_atom_site_occupancy
Pm1 Pm 0.233 0.250 0.387 1
H1 H 0.316 0.250 0.115 1
Cl1 Cl 0.095 0.750 0.186 1
Cl2 Cl 0.150 0.750 0.597 1
Cl3 Cl 0.490 0.750 0.346 1
```

Record 2
# Pm6HRu2Cl3

Crystalline Pm6HRu2Cl3 at its relaxed geometry (GGA-PBE, Alexandria via LeMat-Bulk).

DFT total energy ... -5.585 eV per atom
V ... 25.4 Å³/atom
Theoretical density ... 6.43 g/cm3
Size of the total moment ... 0.0 μB/f.u.

```
data_Pm6HRu2Cl3
_chemical_formula_sum 'Pm12 H2 Ru4 Cl6'
_space_group_name_H-M_alt 'C 1 2/m 1'
_space_group_IT_number 12
_cell_length_a 6.805
_cell_length_b 11.795
_cell_length_c 7.923
_cell_angle_alpha 90.00
_cell_angle_beta 106.81
_cell_angle_gamma 90.00
loop_
_space_group_symop_operation_xyz
'x,y,z'
'-x,-y,-z'
'-x,y,-z'
'x,-y,z'
'x+1/2,y+1/2,z'
'-x+1/2,-y+1/2,-z'
'-x+1/2,y+1/2,-z'
'x+1/2,-y+1/2,z'
loop_
_atom_site_label
_atom_site_type_symbol
_atom_site_fract_x
_atom_site_fract_y
_atom_site_fract_z
_atom_site_occupancy
Pm1 Pm 0.234 0.166 0.204 1
Pm2 Pm 0.237 0.500 0.203 1
H1 H 0.000 0.000 0.000 1
Ru1 Ru 0.000 0.333 0.000 1
Cl1 Cl 0.000 0.171 0.500 1
Cl2 Cl 0.000 0.500 0.500 1
```

Record 3
# Pm2H2SeCl

Crystalline Pm2H2SeCl at its relaxed geometry (GGA-PBE, Alexandria via LeMat-Bulk).

DFT total energy ... -4.872 eV per atom
V ... 18.5 Å³/atom
Theoretical density ... 6.07 g/cm3
Size of the total moment ... 0.0 μB/f.u.

```
data_Pm2H2SeCl
_chemical_formula_sum 'Pm2 H2 Se1 Cl1'
_space_group_name_H-M_alt 'P -3 m 1'
_space_group_IT_number 164
_space_group_name_Hall '-P 3 2"'
_cell_length_a 3.9332
_cell_length_b 3.9332
_cell_length_c 8.2946
_cell_angle_alpha 90.00
_cell_angle_beta 90.00
_cell_angle_gamma 120.00
loop_
_atom_site_label
_atom_site_type_symbol
_atom_site_fract_x
_atom_site_fract_y
_atom_site_fract_z
_atom_site_occupancy
Pm1 Pm 0.3333 0.6667 0.2725 1
H1 H 0.3333 0.6667 0.7613 1
Se1 Se 0.0000 0.0000 0.5000 1
Cl1 Cl 0.0000 0.0000 0.0000 1
```

Record 4
# Pr2HCl3

Crystalline Pr2HCl3 at its relaxed geometry (GGA-PBE, Alexandria via LeMat-Bulk).

DFT total energy ... -4.744 eV per atom
V ... 24.7 Å³/atom
Theoretical density ... 4.37 g/cm3
Size of the total moment ... 0.0 μB/f.u.

```
data_Pr2HCl3
_chemical_formula_sum 'Pr8 H4 Cl12'
_space_group_name_H-M_alt 'C 1 2/m 1'
_space_group_IT_number 12
_cell_length_a 15.927
_cell_length_b 3.803
_cell_length_c 10.828
_cell_angle_alpha 90.00
_cell_angle_beta 115.49
_cell_angle_gamma 90.00
loop_
_space_group_symop_operation_xyz
'x,y,z'
'-x,-y,-z'
'-x,y,-z'
'x,-y,z'
'x+1/2,y+1/2,z'
'-x+1/2,-y+1/2,-z'
'-x+1/2,y+1/2,-z'
'x+1/2,-y+1/2,z'
loop_
_atom_site_label
_atom_site_type_symbol
_atom_site_fract_x
_atom_site_fract_y
_atom_site_fract_z
_atom_site_occupancy
Pr1 Pr 0.095 0.000 0.442 1
Pr2 Pr 0.139 0.500 0.804 1
H1 H 0.072 0.000 0.652 1
Cl1 Cl 0.046 0.500 0.227 1
Cl2 Cl 0.162 0.000 0.018 1
Cl3 Cl 0.229 0.500 0.622 1
```

Record 5
# Pr2HCl2

Crystalline Pr2HCl2 at its relaxed geometry (GGA-PBE, Alexandria via LeMat-Bulk).

DFT total energy ... -4.737 eV per atom
V ... 27.7 Å³/atom
Theoretical density ... 4.24 g/cm3
Size of the total moment ... 0.7 μB/f.u.

```
data_Pr2HCl2
_chemical_formula_sum 'Pr8 H4 Cl8'
_space_group_name_H-M_alt 'C 1 2/m 1'
_space_group_IT_number 12
_cell_length_a 19.957
_cell_length_b 3.998
_cell_length_c 6.979
_cell_angle_alpha 90.00
_cell_angle_beta 96.25
_cell_angle_gamma 90.00
loop_
_space_group_symop_operation_xyz
'x,y,z'
'-x,-y,-z'
'-x,y,-z'
'x,-y,z'
'x+1/2,y+1/2,z'
'-x+1/2,-y+1/2,-z'
'-x+1/2,y+1/2,-z'
'x+1/2,-y+1/2,z'
loop_
_atom_site_label
_atom_site_type_symbol
_atom_site_fract_x
_atom_site_fract_y
_atom_site_fract_z
_atom_site_occupancy
Pr1 Pr 0.175 0.000 0.392 1
Pr2 Pr 0.176 0.500 0.894 1
H1 H 0.207 0.000 0.069 1
Cl1 Cl 0.087 0.500 0.195 1
Cl2 Cl 0.090 0.000 0.698 1
```

Record 6
# PrHCl4

Crystalline PrHCl4 at its relaxed geometry (GGA-PBE, Alexandria via LeMat-Bulk).

Offset from the most stable computed form ... 0.005 eV per atom
V ... 30.3 Å³/atom
Theoretical density ... 2.59 g/cm3
Size of the total moment ... 0.0 μB/f.u.

```
data_PrHCl4
_chemical_formula_sum 'Pr2 H2 Cl8'
_space_group_name_H-M_alt 'P 1 21/m 1'
_space_group_IT_number 11
_cell_length_a 5.492
_cell_length_b 8.614
_cell_length_c 7.987
_cell_angle_alpha 90.00
_cell_angle_beta 105.57
_cell_angle_gamma 90.00
loop_
_space_group_symop_operation_xyz
'x,y,z'
'-x,-y,-z'
'-x,y+1/2,-z'
'x,-y+1/2,z'
loop_
_atom_site_label
_atom_site_type_symbol
_atom_site_fract_x
_atom_site_fract_y
_atom_site_fract_z
_atom_site_occupancy
Pr1 Pr 0.035 0.250 0.085 1
H1 H 0.097 0.250 0.569 1
Cl1 Cl 0.065 0.559 0.209 1
Cl2 Cl 0.281 0.250 0.495 1
Cl3 Cl 0.442 0.750 0.856 1
```